Below is a relaxed structure of PmNd2Er7, with properties calculated at the PBE level.

Total moment in μB per formula unit: 0.0
Volume in Å³/cell: 655.1
Energy of formation in meV/atom: 165
ΔE to the lowest computed polymorph in meV/atom: 143

CIF file:
```
data_PmNd2Er7
_chemical_formula_sum 'Pm2 Nd4 Er14'
_space_group_name_H-M_alt 'C m m m'
_space_group_IT_number 65
_space_group_name_Hall '-C 2 2'
_cell_length_a 6.478
_cell_length_b 28.799
_cell_length_c 3.511
_cell_angle_alpha 90.00
_cell_angle_beta 90.00
_cell_angle_gamma 90.00
loop_
_atom_site_label
_atom_site_fract_x
_atom_site_fract_y
_atom_site_fract_z
Pm1 0.000 0.000 0.000
Nd1 0.000 0.292 0.500
Er1 0.000 0.185 0.000
Er2 0.000 0.500 0.500
Er3 0.247 0.099 0.500
```

***

Below is a relaxed structure of SmSCl, with properties calculated at the PBE level.

Total moment in μB per formula unit: 0.0
Volume in Å³/cell: 209.1
Formation energy without anion corrections in eV/atom: -2.159

CIF file:
```
data_SmSCl
_chemical_formula_sum 'Sm2 S2 Cl2'
_space_group_name_H-M_alt 'P 1 21/m 1'
_space_group_IT_number 11
_cell_length_a 4.135
_cell_length_b 5.460
_cell_length_c 9.480
_cell_angle_alpha 90.00
_cell_angle_beta 102.35
_cell_angle_gamma 90.00
loop_
_space_group_symop_operation_xyz
'x,y,z'
'-x,-y,-z'
'-x,y+1/2,-z'
'x,-y+1/2,z'
loop_
_atom_site_label
_atom_site_fract_x
_atom_site_fract_y
_atom_site_fract_z
Sm1 0.185 0.250 0.367
S1 0.213 0.750 0.426
Cl1 0.410 0.750 0.827
```

***

Below is a relaxed structure of Er3O2F5, with properties calculated at the PBE level.

Total moment in μB per formula unit: 0.0
Volume in Å³/cell: 516.4
Formation energy without anion corrections in eV/atom: -4.035

CIF file:
```
data_Er3O2F5
_chemical_formula_sum 'Er12 O8 F20'
_space_group_name_H-M_alt 'P n m a'
_space_group_IT_number 62
_cell_length_a 5.609
_cell_length_b 17.182
_cell_length_c 5.358
_cell_angle_alpha 90.00
_cell_angle_beta 90.00
_cell_angle_gamma 90.00
loop_
_space_group_symop_operation_xyz
'x,y,z'
'-x,-y,-z'
'-x+1/2,-y,z+1/2'
'x+1/2,y,-z+1/2'
'x+1/2,-y+1/2,-z+1/2'
'-x+1/2,y+1/2,z+1/2'
'-x,y+1/2,-z'
'x,-y+1/2,z'
loop_
_atom_site_label
_atom_site_fract_x
_atom_site_fract_y
_atom_site_fract_z
Er1 0.172 0.097 0.039
Er2 0.235 0.250 0.457
O1 0.040 0.669 0.705
F1 0.108 0.250 0.858
F2 0.118 0.515 0.786
F3 0.165 0.626 0.176
```

***

Below is a relaxed structure of AcPmSnPb, with properties calculated at the PBE level.

Total moment in μB per formula unit: 0.0
Volume in Å³/cell: 521.4
Energy of formation in meV/atom: -485

CIF file:
```
data_AcPmSnPb
_chemical_formula_sum 'Ac4 Pm4 Sn4 Pb4'
_space_group_name_H-M_alt 'F -4 3 m'
_space_group_IT_number 216
_space_group_name_Hall 'F -4 2 3'
_cell_length_a 8.049
_cell_length_b 8.049
_cell_length_c 8.049
_cell_angle_alpha 90.00
_cell_angle_beta 90.00
_cell_angle_gamma 90.00
loop_
_atom_site_label
_atom_site_fract_x
_atom_site_fract_y
_atom_site_fract_z
Ac1 0.000 0.000 0.000
Pm1 0.000 0.000 0.500
Sn1 0.250 0.250 0.750
Pb1 0.250 0.250 0.250
```

***

Among the records above, which one has the lowest volume?
SmSCl